# 1
Compound: RbSnHg4
Source: Alexandria
Functional: PBE-GGA
Structure: optimized geometry

Lattice parameters (Å, degrees): 6.299 6.299 6.299 60.00 60.00 60.00
Element x y z (fractional)
Hg 0.625 0.625 0.125
Hg 0.625 0.125 0.625
Hg 0.625 0.625 0.625
Hg 0.125 0.625 0.625
Rb 0.000 0.000 0.000
Sn 0.250 0.250 0.250

Formation energy = -4 kJ per mole of atoms
Offset from the most stable computed form = 9.5 kJ/mol of atoms

# 2
Compound: BeMo2Rh
Source: Alexandria
Functional: PBE-GGA
Structure: optimized geometry

Lattice parameters (Å, degrees): 2.726 2.726 7.277 90.00 90.00 90.00
Element x y z (fractional)
Be 0.500 0.500 0.750
Mo 0.000 0.000 0.978
Mo 0.000 0.000 0.522
Rh 0.500 0.500 0.250

Formation energy = -7 kJ per mole of atoms

# 3
Compound: GaHg2I
Source: Alexandria
Functional: PBE-GGA
Structure: optimized geometry

Lattice parameters (Å, degrees): 6.287 4.579 4.579 90.00 90.00 90.00
Element x y z (fractional)
I 0.500 0.500 0.500
Hg 0.000 0.000 0.500
Hg 0.000 0.500 0.000
Ga 0.500 0.000 0.000

Formation energy without anion corrections = -36 kJ/mol of formula units
Offset from the most stable computed form = 5.8 kJ/mol of atoms

# 4
Compound: Ba3Ag2HgO6
Source: Alexandria
Functional: PBE-GGA
Structure: optimized geometry

Lattice parameters (Å, degrees): 6.242 6.242 6.830 90.00 90.00 120.00
Element x y z (fractional)
Ba 0.333 0.667 0.613
Ba 0.667 0.333 0.387
Ba 0.000 0.000 0.000
Ag 0.667 0.333 0.876
Ag 0.333 0.667 0.124
Hg 0.000 0.000 0.500
O 0.665 0.832 0.305
O 0.168 0.335 0.305
O 0.168 0.832 0.305
O 0.832 0.665 0.695
O 0.335 0.168 0.695
O 0.832 0.168 0.695

Formation energy without anion corrections = -1327 kJ/mol of formula units

Number 1: E_tot -1.07 eV/atom. Number 2: E_tot -8.26 eV/atom. Number 3: E_tot -1.39 eV/atom. Number 4: E_tot -4.61 eV/atom.